# Tb3Tm2Sc PBE relaxed
data_Tb3Tm2Sc
_cell_length_a 4.934
_cell_length_b 14.833
_cell_length_c 4.906
_cell_angle_alpha 90.00
_cell_angle_beta 90.00
_cell_angle_gamma 90.00
_symmetry_space_group_name_H-M 'C m m m'
_symmetry_Int_Tables_number 65
_symmetry_space_group_name_Hall '-C 2 2'
loop_
_atom_site_label
_atom_site_fract_x
_atom_site_fract_y
_atom_site_fract_z
Tb1 0.000 0.000 0.000
Tb2 0.000 0.335 0.000
Tm1 0.000 0.165 0.500
Sc1 0.000 0.500 0.500
# - Energy of formation from the pure elements: 0.034 eV per atom
# - ΔE to the lowest computed polymorph: 0.013 eV/atom



# Pr3Nd3Sm4 PBE relaxed
data_Pr3Nd3Sm4
_cell_length_a 3.778
_cell_length_b 13.747
_cell_length_c 13.755
_cell_angle_alpha 90.00
_cell_angle_beta 90.00
_cell_angle_gamma 90.00
_symmetry_space_group_name_H-M 'A m m 2'
_symmetry_Int_Tables_number 38
loop_
_symmetry_equiv_pos_as_xyz
'x,y,z'
'-x,-y,z'
'-x,y,z'
'x,-y,z'
'x,y+1/2,z+1/2'
'-x,-y+1/2,z+1/2'
'-x,y+1/2,z+1/2'
'x,-y+1/2,z+1/2'
loop_
_atom_site_label
_atom_site_fract_x
_atom_site_fract_y
_atom_site_fract_z
Pr1 0.000 0.000 0.000
Pr2 0.000 0.173 0.673
Nd1 0.000 0.000 0.347
Nd2 0.500 0.249 0.423
Sm1 0.500 0.000 0.547
Sm2 0.500 0.000 0.799
Sm3 0.500 0.126 0.174
# - Energy of formation from the pure elements: 0.100 eV per atom



# LiPrTl2 PBE relaxed
data_LiPrTl2
_cell_length_a 7.517
_cell_length_b 7.517
_cell_length_c 7.517
_cell_angle_alpha 90.00
_cell_angle_beta 90.00
_cell_angle_gamma 90.00
_symmetry_space_group_name_H-M 'F m -3 m'
_symmetry_Int_Tables_number 225
_symmetry_space_group_name_Hall '-F 4 2 3'
loop_
_atom_site_label
_atom_site_fract_x
_atom_site_fract_y
_atom_site_fract_z
Li1 0.000 0.000 0.000
Pr1 0.000 0.000 0.500
Tl1 0.250 0.250 0.250
# - Energy of formation from the pure elements: -0.336 eV per atom
# - ΔE to the lowest computed polymorph: 0.000 eV/atom



# Ac2TbSe2S2 PBE relaxed
data_Ac2TbSe2S2
_cell_length_a 5.112
_cell_length_b 5.112
_cell_length_c 15.774
_cell_angle_alpha 90.00
_cell_angle_beta 90.00
_cell_angle_gamma 90.00
_symmetry_space_group_name_H-M 'I 4/m m m'
_symmetry_Int_Tables_number 139
_symmetry_space_group_name_Hall '-I 4 2'
loop_
_atom_site_label
_atom_site_fract_x
_atom_site_fract_y
_atom_site_fract_z
Ac1 0.000 0.000 0.129
Tb1 0.000 0.000 0.500
Se1 0.000 0.000 0.320
S1 0.000 0.500 0.000
# - Uncorrected formation energy: -1.836 eV/atom



Number 1: raw total energy -4.827 eV/atom. Number 2: raw total energy -4.652 eV/atom. Number 3: raw total energy -3.192 eV/atom. Number 4: raw total energy -5.846 eV/atom.